Entry 1:
Pr2Y4Ho2Tm, relaxed, DFT GGA-PBE; density of states at the Fermi level = 1.414 states/eV/atom; ΔH_f (0 K) = -2 meV per atom; E = -49.056 eV/f.u.; space group = C2/m
1.0
-1.9225 -0.8444 -2.9458
8.8048 0.4589 -3.6564
-2.3493 -8.4316 3.9500
Y Pr Tm Ho
4 2 1 2
Cartesian
5.9763 -5.5696 -2.3037 Y
2.1246 -2.8119 -0.5805 Y
-1.4432 -3.2474 -0.3485 Y
2.4085 -6.0051 -2.0717 Y
-0.7183 -8.8135 0.7739 Pr
5.2514 -0.0035 -3.4261 Pr
0.0000 0.0000 0.0000 Tm
3.7797 -3.2401 -3.7592 Ho
0.7534 -5.5770 1.1069 Ho

***

Entry 2:
Pr4Y2HoTm2, relaxed, DFT GGA-PBE; density of states at the Fermi level = 1.573 states/eV/atom; ΔH_f (0 K) = 25 meV per atom; E = -45.343 eV/f.u.; space group = C2/m
1.0
5.1111 0.0000 0.0000
-2.5555 7.6736 0.0201
0.0000 -2.5645 7.6466
Pr Tm Y Ho
4 2 2 1
Cartesian
0.0000 5.1232 5.1522 Pr
2.5555 -0.0141 2.5145 Pr
2.5555 2.5430 5.1357 Pr
0.0000 2.5661 2.5310 Pr
0.0000 5.1026 0.0145 Tm
2.5555 0.0065 7.6522 Tm
0.0000 -0.0054 5.1348 Y
2.5555 5.1145 2.5319 Y
0.0000 0.0000 0.0000 Ho

***

Entry 3:
PrY2Ho6Tm, relaxed, DFT GGA-PBE; density of states at the Fermi level = 1.513 states/eV/atom; ΔH_f (0 K) = 125 meV per atom; E = -48.394 eV/f.u.; space group = C2/c
1.0
-9.1698 -1.1054 -1.4723
0.5347 -7.3892 4.7438
-1.2111 7.4966 4.4412
Ho Tm Y Pr
12 2 4 2
Cartesian
-8.4468 3.2569 5.2847 Ho
-2.9044 -4.3550 6.1868 Ho
-1.3910 4.7104 3.8641 Ho
-1.3993 -4.2549 2.4280 Ho
-6.9418 3.3570 1.5258 Ho
-3.6201 -2.0899 3.1803 Ho
-1.2411 -1.7670 5.3378 Ho
-4.9793 4.3003 4.3924 Ho
-4.8669 -5.2983 3.3202 Ho
-8.6051 0.7691 2.3748 Ho
-8.4552 -5.7084 3.8485 Ho
-6.2261 1.0919 4.5323 Ho
-7.0614 -2.0898 3.5149 Tm
-2.7848 1.0919 4.1977 Tm
-4.5276 -1.1844 6.1978 Y
-0.5534 -0.7978 2.2822 Y
-9.2928 -0.2001 5.4304 Y
-5.3186 0.1864 1.5148 Y
-1.8150 -7.1770 4.3657 Pr
-8.0311 6.1790 3.3469 Pr

***

Entry 4:
PrYHo2Tm, relaxed, DFT GGA-PBE; density of states at the Fermi level = 1.421 states/eV/atom; ΔH_f (0 K) = 392 meV per atom; E = -22.912 eV/f.u.; space group = Cmcm
1.0
-1.4465 -7.0457 0.6348
5.7256 -1.7069 -5.8978
1.1733 0.3899 7.0013
Y Pr Ho Tm
2 2 4 2
Cartesian
5.7969 -6.5993 1.5624 Y
-0.3445 -1.7634 0.1759 Y
1.1049 -5.5358 2.6748 Pr
4.3474 -2.8269 -0.9365 Pr
1.0584 -4.0540 -1.5178 Ho
3.2207 -4.6986 -3.7452 Ho
3.9439 -1.1757 -4.0626 Ho
1.7816 -0.5311 -1.8352 Ho
3.5417 -6.3403 -0.7018 Tm
1.9106 -2.0224 2.4401 Tm

***

Entry 5:
PrY6Ho2Tm3, relaxed, DFT GGA-PBE; density of states at the Fermi level = 1.460 states/eV/atom; ΔH_f (0 K) = 25 meV per atom; E = -65.831 eV/f.u.; space group = C2/m
1.0
-3.2745 4.3933 2.8008
-1.6807 -2.0035 -5.5704
-5.0285 -8.9114 5.8524
Tm Y Ho Pr
3 6 2 1
Cartesian
-5.5226 -1.1305 4.3292 Tm
-4.4611 -5.3911 -1.2464 Tm
-4.9919 -3.2608 1.5414 Tm
-7.1972 -5.9400 0.9032 Y
-4.9929 -6.0628 3.6823 Y
-7.7297 -3.8028 3.7000 Y
-4.9908 -0.4588 -0.5995 Y
-2.7865 -0.5816 2.1796 Y
-2.2540 -2.7188 -0.6172 Y
-2.2121 0.1293 -2.7793 Ho
-2.7431 2.2605 0.0097 Ho
0.0000 0.0000 0.0000 Pr

***

Entry 6:
PrY3Ho6Tm2, relaxed, DFT GGA-PBE; density of states at the Fermi level = 1.367 states/eV/atom; ΔH_f (0 K) = 23 meV per atom; E = -60.309 eV/f.u.; space group = C2/m
1.0
6.1360 0.0019 0.0134
-3.0648 5.3157 0.0134
-1.0436 -1.8070 11.5757
Ho Pr Y Tm
6 1 3 2
Cartesian
2.0390 3.5306 2.9093 Ho
2.0460 -0.0080 2.8980 Ho
-0.0115 -0.0199 8.6932 Ho
-0.0185 3.5187 8.7045 Ho
3.0570 1.7425 8.7045 Ho
-1.0294 1.7682 2.8980 Ho
0.0000 0.0000 0.0000 Pr
4.0770 -0.0138 5.8013 Y
-2.0495 3.5245 5.8013 Y
1.0138 1.7553 5.8013 Y
3.0689 1.7733 0.0134 Tm
0.0022 3.5444 0.0134 Tm

***

Entry 7:
Pr2Y6HoTm3, relaxed, DFT GGA-PBE; density of states at the Fermi level = 1.462 states/eV/atom; ΔH_f (0 K) = 24 meV per atom; E = -66.048 eV/f.u.; space group = C2/m
1.0
-1.2791 -1.6625 5.8199
5.5834 -1.1732 -2.3917
2.3642 11.2794 2.6479
Tm Ho Pr Y
3 1 2 6
Cartesian
5.6241 4.3851 0.2980 Tm
1.0444 4.0586 5.7781 Tm
3.3343 4.2219 3.0380 Tm
0.0000 0.0000 0.0000 Ho
1.0088 -1.4994 3.0823 Pr
3.2956 -1.3363 0.3459 Pr
2.8260 7.7089 2.8210 Y
3.8450 6.2073 5.9059 Y
6.1260 6.3699 3.1764 Y
0.5425 2.0739 2.8997 Y
2.8236 2.2365 0.1702 Y
3.8425 0.7348 3.2550 Y

***

Entry 8:
Pr2YHoTm, relaxed, DFT GGA-PBE; density of states at the Fermi level = 1.249 states/eV/atom; ΔH_f (0 K) = 410 meV per atom; E = -23.023 eV/f.u.; space group = Cmcm
1.0
-0.3101 -1.4899 -7.1459
-2.0602 -7.9935 1.7560
-4.5825 5.4311 -0.9336
Tm Ho Pr Y
2 2 4 2
Cartesian
-6.4797 -2.9963 -0.9616 Tm
-0.4731 -1.0560 -5.3618 Tm
-3.5157 -3.7538 -0.9323 Ho
-3.4372 -0.2985 -5.3911 Ho
-1.5891 -6.3089 -2.3506 Pr
-0.6262 -2.4295 0.5337 Pr
-1.4340 -5.5639 1.2223 Pr
-0.7812 -3.1745 -3.0392 Pr
-3.9860 -4.4182 -4.5084 Y
-2.9668 0.3659 -1.8151 Y

***

Entry 9:
Pr2YHo2Tm2, relaxed, DFT GGA-PBE; density of states at the Fermi level = 1.613 states/eV/atom; ΔH_f (0 K) = 88 meV per atom; E = -33.505 eV/f.u.; space group = C2/m
1.0
3.5166 0.0000 0.0000
-1.7583 5.6481 1.5912
0.0000 0.6839 11.8041
Pr Ho Tm Y
2 2 2 1
Cartesian
0.0000 3.7647 2.0621 Pr
1.7583 2.5673 11.3332 Pr
0.0000 5.6188 10.5115 Ho
1.7583 0.7132 2.8837 Ho
1.7583 3.3403 5.1844 Tm
0.0000 2.9917 8.2108 Tm
0.0000 0.3419 5.9020 Y

***

Entry 10:
Pr6YHoTm2, relaxed, DFT GGA-PBE; density of states at the Fermi level = 1.482 states/eV/atom; ΔH_f (0 K) = 114 meV per atom; E = -47.526 eV/f.u.; space group = C2/c
1.0
-5.9549 -6.3123 -4.2932
1.4914 -5.3249 7.1098
-6.3257 6.3665 0.7629
Pr Y Tm Ho
12 2 4 2
Cartesian
-7.8996 1.5487 0.4350 Pr
-5.8142 -9.1795 2.3991 Pr
-3.3696 -3.2594 2.2005 Pr
-7.6491 -0.8061 -2.4762 Pr
-2.8896 -6.8193 3.1445 Pr
-4.9750 3.9088 1.1805 Pr
-8.0369 -3.8882 -1.3181 Pr
-7.4195 -2.0112 1.3790 Pr
-3.1400 -4.4646 6.0558 Pr
-0.3319 -4.1406 3.1939 Pr
-10.4573 -1.1301 0.3856 Pr
-2.7522 -1.3824 4.8977 Pr
-0.2151 -6.5772 5.8597 Y
-10.5741 1.3065 -2.2801 Y
-1.0979 -0.6093 2.0764 Tm
-4.8450 -2.6143 -0.6951 Tm
-5.9442 -2.6563 4.2747 Tm
-9.6913 -4.6613 1.5032 Tm
-4.5917 -0.0315 2.3062 Ho
-6.1974 -5.2392 1.2734 Ho

***

Among the records above, which one has the highest ΔH_f (0 K)?
Pr2YHoTm